No. 1
Material: CsNaSeCl6
Method: DFT, PBE
State: optimized geometry

Uncorrected formation energy: -1048 meV per atom
Calculated volume: 320.4 Å³ per cell
Fermi-level density of states: 0.000 states/eV/cell
Raw total energy: -2.9075 eV per atom
Space group: C2, No. 5

a = 7.0030 Å, b = 7.0030 Å, c = 7.5477 Å
α = 90.03°, β = 90.03°, γ = 120.06°
With the nearest neighbours (Å) after each atom.
Positions (direct):
Cs 0.0000 0.0000 0.0000  6 Cl 3.52
Na 0.6665 0.3335 0.5000  6 Cl 2.83
Se 0.3334 0.6666 0.5000  6 Cl 2.43
Cl 0.0425 0.3924 0.3129  1 Se 2.43
Cl 0.0434 0.6501 0.6875  1 Se 2.43
Cl 0.3505 0.3935 0.6876  1 Se 2.43
Cl 0.3499 0.9566 0.3125  1 Se 2.43
Cl 0.6065 0.6495 0.3124  1 Se 2.43
Cl 0.6076 0.9575 0.6871  1 Se 2.43


No. 2
Material: SrAs2O6
Method: DFT, PBE
State: optimized geometry

Uncorrected formation energy: -1678 meV per atom
Calculated volume: 314.0 Å³ per cell
Fermi-level density of states: 0.000 states/eV/cell
Raw total energy: -6.2039 eV per atom
Space group: C2/c, No. 15

a = 7.7478 Å, b = 7.7478 Å, c = 5.4268 Å
α = 100.10°, β = 100.10°, γ = 82.32°
With the nearest neighbours (Å) after each atom.
Positions (direct):
Sr 0.1388 0.8612 0.7500  6 O 2.42-2.62
Sr 0.8612 0.1388 0.2500  6 O 2.42-2.62
As 0.1818 0.3565 0.7628  4 O 1.66-1.80
As 0.3565 0.1818 0.2628  4 O 1.66-1.80
As 0.6435 0.8182 0.7372  4 O 1.66-1.80
As 0.8182 0.6435 0.2372  4 O 1.66-1.80
O 0.0530 0.1903 0.6821  1 As 1.68
O 0.0937 0.5657 0.7968  1 As 1.66
O 0.1903 0.0530 0.1821  1 As 1.68
O 0.3310 0.3415 0.5383  2 As 1.79-1.80
O 0.3415 0.3310 0.0383  2 As 1.79-1.80
O 0.4343 0.9063 0.7032  1 As 1.66
O 0.5657 0.0937 0.2968  1 As 1.66
O 0.6585 0.6690 0.9617  2 As 1.79-1.80
O 0.6690 0.6585 0.4617  2 As 1.79-1.80
O 0.8097 0.9470 0.8179  1 As 1.68
O 0.9063 0.4343 0.2032  1 As 1.66
O 0.9470 0.8097 0.3179  1 As 1.68


No. 3
Material: Ni4IrRu
Method: DFT, PBE
State: optimized geometry

Calculated volume: 72.2 Å³ per cell
Fermi-level density of states: 8.686 states/eV/cell
Raw total energy: -6.7285 eV per atom
Space group: F-43m, No. 216
Formation energy from the elements: 0.1485 eV/atom

a = 4.6746 Å, b = 4.6746 Å, c = 4.6746 Å
α = 60.00°, β = 60.00°, γ = 60.00°
With the nearest neighbours (Å) after each atom.
Positions (direct):
Ni 0.1251 0.1251 0.1251  6 Ni 2.33-2.34
Ni 0.1251 0.1251 0.6246  6 Ni 2.33-2.34
Ni 0.1251 0.6246 0.1251  6 Ni 2.33-2.34
Ni 0.6246 0.1251 0.1251  6 Ni 2.33-2.34
Ir 0.5000 0.5000 0.5000  12 Ni 2.74, 4 Ru 2.86
Ru 0.7500 0.7500 0.7500  12 Ni 2.74, 4 Ir 2.86


No. 4
Material: Sc2OsC
Method: DFT, PBE
State: optimized geometry

Calculated volume: 146.0 Å³ per cell
Fermi-level density of states: 7.490 states/eV/cell
Raw total energy: -8.4450 eV per atom
Space group: I-42d, No. 122
Formation energy from the elements: -0.1658 eV/atom

a = 6.4167 Å, b = 6.4167 Å, c = 6.4167 Å
α = 95.32°, β = 95.32°, γ = 144.55°
With the nearest neighbours (Å) after each atom.
Positions (direct):
Sc 0.3750 0.2140 0.3390  2 C 2.35
Sc 0.7860 0.1250 0.1610  2 C 2.35
Sc 0.8750 0.0360 0.6610  2 C 2.35
Sc 0.9640 0.6250 0.8390  2 C 2.35
Os 0.2500 0.7500 0.5000  2 C 1.95
Os 0.5000 0.5000 0.0000  2 C 1.95
C 0.0000 0.0000 0.0000  2 Os 1.95
C 0.7500 0.2500 0.5000  2 Os 1.95


No. 5
Material: AcNd2TcO8
Method: DFT, PBE
State: optimized geometry

Uncorrected formation energy: -2524 meV per atom
Calculated volume: 196.8 Å³ per cell
Raw total energy: -7.8304 eV per atom
Space group: Cmmm, No. 65

a = 5.2477 Å, b = 5.2477 Å, c = 7.1491 Å
α = 90.00°, β = 90.00°, γ = 90.97°
With the nearest neighbours (Å) after each atom.
Positions (direct):
Ac 0.0000 0.0000 0.0000  6 O 2.38-2.55
Nd 0.5000 0.5000 0.2528  4 O 2.26-2.38
Nd 0.5000 0.5000 0.7472  4 O 2.26-2.38
Tc 0.0000 0.0000 0.5000  6 O 1.89-1.92
O 0.1802 0.1802 0.3050  1 Tc 1.92
O 0.1802 0.1802 0.6950  1 Tc 1.92
O 0.2528 0.7472 0.5000  1 Tc 1.89
O 0.3181 0.6819 0.0000  2 Nd 2.26, 1 Ac 2.38
O 0.6819 0.3181 0.0000  2 Nd 2.26, 1 Ac 2.38
O 0.7472 0.2528 0.5000  1 Tc 1.89
O 0.8198 0.8198 0.3050  1 Tc 1.92
O 0.8198 0.8198 0.6950  1 Tc 1.92


No. 6
Material: ScNiAs3
Method: DFT, PBE
State: optimized geometry

Calculated volume: 126.8 Å³ per cell
Fermi-level density of states: 5.484 states/eV/cell
Raw total energy: -4.5088 eV per atom
Space group: Pm-3m, No. 221
Formation energy from the elements: 0.7035 eV/atom

a = 5.0242 Å, b = 5.0242 Å, c = 5.0242 Å
α = 90.00°, β = 90.00°, γ = 90.00°
With the nearest neighbours (Å) after each atom.
Positions (direct):
Sc 0.0000 0.0000 0.0000  6 As 2.51
Ni 0.5000 0.5000 0.5000  12 As 3.55
As 0.0000 0.0000 0.5000  2 Sc 2.51
As 0.0000 0.5000 0.0000  2 Sc 2.51
As 0.5000 0.0000 0.0000  2 Sc 2.51


No. 7
Material: Sm8Tl4In3
Method: DFT, PBE
State: optimized geometry

Calculated volume: 482.2 Å³ per cell
Fermi-level density of states: 14.993 states/eV/cell
Raw total energy: -3.8635 eV per atom
Space group: C2/m, No. 12
Formation energy from the elements: -0.1679 eV/atom

a = 9.0413 Å, b = 9.0413 Å, c = 7.0606 Å
α = 112.93°, β = 112.93°, γ = 89.71°
With the nearest neighbours (Å) after each atom.
Positions (direct):
Sm 0.1575 0.8425 0.0000  2 In 3.41, 2 Tl 3.42, 6 Sm 3.73-3.74
Sm 0.2450 0.2450 0.4935  4 Tl 3.17-3.26, 1 In 3.24, 1 Sm 3.50
Sm 0.2447 0.2447 0.9969  2 Tl 3.17-3.26, 3 In 3.19-3.25, 1 Sm 3.50
Sm 0.2514 0.7486 0.5000  3 In 3.17-3.21, 3 Tl 3.20-3.21
Sm 0.7486 0.2514 0.5000  3 In 3.17-3.21, 3 Tl 3.20-3.21
Sm 0.7553 0.7553 0.0031  2 Tl 3.17-3.26, 3 In 3.19-3.25, 1 Sm 3.50
Sm 0.7550 0.7550 0.5065  4 Tl 3.17-3.26, 1 In 3.24, 1 Sm 3.50
Sm 0.8425 0.1575 0.0000  2 In 3.41, 2 Tl 3.42, 6 Sm 3.73-3.74
Tl 0.0000 0.0000 0.5000  6 Sm 3.17-3.21
Tl 0.0000 0.5000 0.5000  6 Sm 3.19-3.42, 2 In 3.53
Tl 0.5000 0.0000 0.5000  6 Sm 3.19-3.42, 2 In 3.53
Tl 0.5000 0.5000 0.0000  4 Sm 3.26, 2 In 3.53
In 0.0000 0.5000 0.0000  6 Sm 3.19-3.41, 2 Tl 3.53
In 0.5000 0.0000 0.0000  6 Sm 3.19-3.41, 2 Tl 3.53
In 0.5000 0.5000 0.5000  6 Sm 3.17-3.25, 2 Tl 3.53


No. 8
Material: Sb2TeAu
Method: DFT, PBE
State: optimized geometry

Uncorrected formation energy: 299 meV per atom
Calculated volume: 103.1 Å³ per cell
Fermi-level density of states: 1.218 states/eV/cell
Raw total energy: -3.3665 eV per atom
Space group: I-4m2, No. 119

a = 5.8362 Å, b = 5.8362 Å, c = 5.8362 Å
α = 133.41°, β = 133.41°, γ = 68.02°
With the nearest neighbours (Å) after each atom.
Positions (direct):
Sb 0.0000 0.0000 0.0000  4 Au 3.26, 4 Sb 3.34, 4 Te 3.34
Sb 0.7500 0.2500 0.5000  4 Te 3.26, 4 Sb 3.34, 4 Au 3.34
Te 0.2500 0.7500 0.5000  8 Sb 3.26-3.34, 4 Au 3.34
Au 0.5000 0.5000 0.0000  8 Sb 3.26-3.34, 4 Te 3.34